(1)
First-principles (PBE) data for an optimized crystal structure of La2Sm3Au2, as listed in Alexandria via LeMat-Bulk.

The structure in CIF format:
```
data_La2Sm3Au2
_chemical_formula_sum 'La2 Sm3 Au2'
_symmetry_space_group_name_H-M 'P 1'
_symmetry_Int_Tables_number 1
_cell_length_a 3.878
_cell_length_b 6.792
_cell_length_c 9.442
_cell_angle_alpha 115.01
_cell_angle_beta 90.00
_cell_angle_gamma 106.59
loop_
_symmetry_equiv_pos_as_xyz
'x,y,z'
loop_
_atom_site_label
_atom_site_type_symbol
_atom_site_fract_x
_atom_site_fract_y
_atom_site_fract_z
Sm1 Sm 0.385 0.769 0.554
Sm2 Sm 0.500 0.000 0.000
Sm3 Sm 0.615 0.231 0.446
Au1 Au 0.165 0.330 0.233
Au2 Au 0.835 0.670 0.767
La1 La 0.846 0.692 0.184
La2 La 0.154 0.308 0.816
```

Values from the calculation:
- ΔH_f (0 K): -0.47 eV per atom
- Calculated volume: 213.9 Å³ per cell
- Space group: No. 12

(2)
First-principles (PBE) data for an optimized crystal structure of AgRu2Pb, as listed in Alexandria via LeMat-Bulk.

The structure in CIF format:
```
data_AgRu2Pb
_chemical_formula_sum 'Ag1 Ru2 Pb1'
_symmetry_space_group_name_H-M 'P 1'
_symmetry_Int_Tables_number 1
_cell_length_a 4.834
_cell_length_b 4.834
_cell_length_c 5.213
_cell_angle_alpha 77.37
_cell_angle_beta 77.37
_cell_angle_gamma 36.31
loop_
_symmetry_equiv_pos_as_xyz
'x,y,z'
loop_
_atom_site_label
_atom_site_type_symbol
_atom_site_fract_x
_atom_site_fract_y
_atom_site_fract_z
Ru1 Ru 0.505 0.505 0.531
Ru2 Ru 0.995 0.995 0.969
Ag1 Ag 0.750 0.750 0.750
Pb1 Pb 0.250 0.250 0.250
```

Values from the calculation:
- ΔH_f (0 K): 0.61 eV per atom
- Calculated volume: 70.2 Å³ per cell
- Space group: No. 12

(3)
First-principles (PBE) data for an optimized crystal structure of Pr3Nd4HoS8, as listed in Alexandria via LeMat-Bulk.

The structure in CIF format:
```
data_Pr3Nd4HoS8
_chemical_formula_sum 'Pr3 Nd4 Ho1 S8'
_symmetry_space_group_name_H-M 'P 1'
_symmetry_Int_Tables_number 1
_cell_length_a 8.132
_cell_length_b 8.121
_cell_length_c 8.132
_cell_angle_alpha 120.04
_cell_angle_beta 120.00
_cell_angle_gamma 90.00
loop_
_symmetry_equiv_pos_as_xyz
'x,y,z'
loop_
_atom_site_label
_atom_site_type_symbol
_atom_site_fract_x
_atom_site_fract_y
_atom_site_fract_z
Nd1 Nd 0.000 0.000 0.500
Nd2 Nd 0.500 0.000 0.500
Nd3 Nd 0.500 0.000 0.000
Nd4 Nd 0.000 0.000 0.000
S1 S 0.757 0.255 0.514
S2 S 0.249 0.247 0.498
S3 S 0.241 0.255 0.998
S4 S 0.751 0.753 0.502
S5 S 0.757 0.255 0.998
S6 S 0.759 0.745 0.002
S7 S 0.243 0.745 0.002
S8 S 0.243 0.745 0.486
Pr1 Pr 0.500 0.500 0.500
Pr2 Pr 0.500 0.500 0.000
Pr3 Pr 0.000 0.500 0.500
Ho1 Ho 0.000 0.500 0.000
```

Values from the calculation:
- Electronic total energy: -6.4464 eV per atom
- Calculated volume: 379.5 Å³ per cell
- Space group: No. 166

(4)
First-principles (PBE) data for an optimized crystal structure of NiSbTe2Ir, as listed in Alexandria via LeMat-Bulk.

The structure in CIF format:
```
data_NiSbTe2Ir
_chemical_formula_sum 'Ni1 Sb1 Te2 Ir1'
_symmetry_space_group_name_H-M 'P 1'
_symmetry_Int_Tables_number 1
_cell_length_a 4.941
_cell_length_b 4.941
_cell_length_c 4.742
_cell_angle_alpha 90.00
_cell_angle_beta 90.00
_cell_angle_gamma 90.00
loop_
_symmetry_equiv_pos_as_xyz
'x,y,z'
loop_
_atom_site_label
_atom_site_type_symbol
_atom_site_fract_x
_atom_site_fract_y
_atom_site_fract_z
Te1 Te 0.000 0.500 0.000
Te2 Te 0.500 0.000 0.000
Sb1 Sb 0.000 0.000 0.500
Ir1 Ir 0.500 0.500 0.500
Ni1 Ni 0.000 0.000 0.000
```

Values from the calculation:
- Polymorph energy (0 for the lowest one): 228 meV per atom
- Calculated volume: 115.8 Å³ per cell
- Space group: No. 123

(5)
First-principles (PBE) data for an optimized crystal structure of Ce2Ni12As7, as listed in Alexandria via LeMat-Bulk.

The structure in CIF format:
```
data_Ce2Ni12As7
_chemical_formula_sum 'Ce2 Ni12 As7'
_symmetry_space_group_name_H-M 'P 1'
_symmetry_Int_Tables_number 1
_cell_length_a 3.904
_cell_length_b 9.408
_cell_length_c 9.408
_cell_angle_alpha 120.00
_cell_angle_beta 90.00
_cell_angle_gamma 90.00
loop_
_symmetry_equiv_pos_as_xyz
'x,y,z'
loop_
_atom_site_label
_atom_site_type_symbol
_atom_site_fract_x
_atom_site_fract_y
_atom_site_fract_z
As1 As 0.742 0.294 0.403
As2 As 0.742 0.109 0.706
As3 As 0.258 0.891 0.294
As4 As 0.258 0.403 0.109
As5 As 0.742 0.597 0.891
As6 As 0.500 0.000 0.000
As7 As 0.258 0.706 0.597
Ni1 Ni 0.751 0.056 0.433
Ni2 Ni 0.225 0.744 0.864
Ni3 Ni 0.249 0.622 0.056
Ni4 Ni 0.775 0.880 0.744
Ni5 Ni 0.775 0.864 0.120
Ni6 Ni 0.249 0.433 0.378
Ni7 Ni 0.225 0.136 0.880
Ni8 Ni 0.751 0.378 0.944
Ni9 Ni 0.225 0.120 0.256
Ni10 Ni 0.775 0.256 0.136
Ni11 Ni 0.249 0.944 0.567
Ni12 Ni 0.751 0.567 0.622
Ce1 Ce 0.244 0.333 0.667
Ce2 Ce 0.756 0.667 0.333
```

Values from the calculation:
- Polymorph energy (0 for the lowest one): 5 meV per atom
- ΔH_f (0 K): -0.53 eV per atom
- Calculated volume: 299.2 Å³ per cell
- Space group: No. 147

(6)
First-principles (PBE) data for an optimized crystal structure of MgTi2AuS, as listed in Alexandria via LeMat-Bulk.

The structure in CIF format:
```
data_MgTi2AuS
_chemical_formula_sum 'Mg1 Ti2 Au1 S1'
_symmetry_space_group_name_H-M 'P 1'
_symmetry_Int_Tables_number 1
_cell_length_a 4.945
_cell_length_b 5.014
_cell_length_c 4.945
_cell_angle_alpha 90.00
_cell_angle_beta 90.00
_cell_angle_gamma 90.00
loop_
_symmetry_equiv_pos_as_xyz
'x,y,z'
loop_
_atom_site_label
_atom_site_type_symbol
_atom_site_fract_x
_atom_site_fract_y
_atom_site_fract_z
S1 S 0.000 0.500 0.000
Mg1 Mg 0.500 0.500 0.500
Ti1 Ti 0.500 0.000 0.000
Ti2 Ti 0.000 0.000 0.500
Au1 Au 0.000 0.000 0.000
```

Values from the calculation:
- Electronic total energy: -4.1928 eV per atom
- Calculated volume: 122.6 Å³ per cell
- Space group: No. 123